# 1
A geometry-optimized MnInCo structure, computed with PBEsol.

The structure in POSCAR format:
```
MnInCo
1.0
2.901 0.000 0.000
-1.450 2.512 0.000
0.000 0.000 6.139
Co In Mn
1 1 1
Cartesian
0.000 0.000 0.137
0.000 1.675 4.148
1.450 0.837 1.854
```

Summary:
total DFT energy (no corrections)	-6.427	eV per atom
SG	P3m1, No. 156
energy of formation from the pure elements	38.6	kJ/mol of atoms

# 2
A geometry-optimized KZn2Hg structure, computed with PBEsol.

The structure in POSCAR format:
```
KZn2Hg
1.0
3.960 0.000 0.000
0.000 5.389 0.000
-1.980 -2.695 4.502
Hg K Zn
1 1 2
Cartesian
0.000 0.000 4.161
0.000 2.695 2.307
0.000 0.000 0.442
1.980 0.000 2.096
```

Summary:
total DFT energy (no corrections)	-1.061	eV per atom
SG	Imm2, No. 44
energy of formation from the pure elements	15.0	kJ/mol of atoms